No. 1
Below is a relaxed structure of NbAuSeO, with properties calculated at the PBE-GGA level.

SG: No. 26
Electronic total energy: -50.73 eV per cell
Crystal system: orthorhombic
Distance to the lowest polymorph of the same formula: 26 meV/atom

Cell: 3.290 8.607 5.617 Å, 90.00 90.00 90.00°
Atoms (fractional coordinates):
Au 0.000 0.330 0.155
Au 0.000 0.670 0.655
Nb 0.500 0.151 0.468
Nb 0.500 0.849 0.968
O 0.500 0.011 0.183
O 0.500 0.989 0.683
Se 0.000 0.663 0.185
Se 0.000 0.337 0.685


No. 2
Below is a relaxed structure of LaSmMg6, with properties calculated at the PBE-GGA level.

SG: No. 25
Electronic total energy: -19.87 eV per cell
Crystal system: orthorhombic

Cell: 5.254 7.419 5.254 Å, 90.00 90.00 90.00°
Atoms (fractional coordinates):
La 0.000 0.000 0.747
Mg 0.000 0.253 0.247
Mg 0.000 0.747 0.247
Mg 0.500 0.000 0.252
Mg 0.000 0.500 0.748
Mg 0.500 0.253 0.754
Mg 0.500 0.747 0.754
Sm 0.500 0.500 0.253


No. 3
Below is a relaxed structure of GdDyTl2Zn2, with properties calculated at the PBE-GGA level.

SG: No. 156
Electronic total energy: -18.62 eV per cell
Crystal system: trigonal

Cell: 4.694 4.694 7.390 Å, 90.00 90.00 120.00°
Atoms (fractional coordinates):
Dy 0.000 0.000 0.347
Gd 0.000 0.000 0.847
Tl 0.667 0.333 0.127
Tl 0.333 0.667 0.626
Zn 0.333 0.667 0.045
Zn 0.667 0.333 0.544


No. 4
Below is a relaxed structure of HoTlNiSe3, with properties calculated at the PBE-GGA level.

SG: No. 11
Electronic total energy: -57.26 eV per cell
Crystal system: monoclinic

Cell: 9.155 3.997 9.461 Å, 90.00 109.56 90.00°
Site moments in Bohr magnetons follow the coordinates.
Atoms (fractional coordinates):
Ho 0.178 0.250 0.144  0.02
Ho 0.822 0.750 0.856  0.02
Ni 0.411 0.750 0.402  0.48
Ni 0.589 0.250 0.598  0.48
Se 0.398 0.750 0.143  0.06
Se 0.965 0.750 0.170  0.01
Se 0.319 0.250 0.475  0.10
Se 0.681 0.750 0.525  0.10
Se 0.035 0.250 0.830  0.01
Se 0.602 0.250 0.857  0.06
Tl 0.709 0.250 0.226  0.01
Tl 0.291 0.750 0.774  0.01


No. 5
Below is a relaxed structure of LuTlCoS3, with properties calculated at the PBE-GGA level.

SG: No. 62
Electronic total energy: -128.13 eV per cell
Crystal system: orthorhombic
Distance to the lowest polymorph of the same formula: 97 meV/atom

Cell: 3.979 10.969 11.683 Å, 90.00 90.00 90.00°
Site moments in Bohr magnetons follow the coordinates.
Atoms (fractional coordinates):
Co 0.750 0.749 0.201  1.44
Co 0.750 0.249 0.299  1.45
Co 0.250 0.751 0.701  1.45
Co 0.250 0.251 0.799  1.44
Lu 0.250 0.489 0.164  0.03
Lu 0.250 0.989 0.336  0.03
Lu 0.750 0.011 0.664  0.03
Lu 0.750 0.511 0.836  0.03
S 0.750 0.611 0.053  0.06
S 0.750 0.951 0.189  0.06
S 0.250 0.222 0.223  0.09
S 0.250 0.722 0.277  0.08
S 0.750 0.451 0.311  0.06
S 0.750 0.111 0.447  0.06
S 0.250 0.889 0.553  0.06
S 0.250 0.549 0.689  0.06
S 0.750 0.278 0.723  0.08
S 0.750 0.778 0.777  0.09
S 0.250 0.049 0.811  0.06
S 0.250 0.389 0.947  0.06
Tl 0.750 0.163 0.009  0.01
Tl 0.750 0.663 0.491  0.01
Tl 0.250 0.337 0.509  0.01
Tl 0.250 0.837 0.991  0.01


No. 6
Below is a relaxed structure of TmTaBe, with properties calculated at the PBE-GGA level.

SG: No. 216
Electronic total energy: -18.30 eV per cell
Crystal system: cubic
Distance to the lowest polymorph of the same formula: 0 meV/atom

Cell: 4.349 4.349 4.349 Å, 60.00 60.00 60.00°
Atoms (fractional coordinates):
Be 0.000 0.000 0.000
Ta 0.250 0.250 0.250
Tm 0.750 0.750 0.750